Density functional theory data (PBE) for Ti3CuF after structural relaxation.

Cell lengths 4.6578, 4.6578, 4.6578 Å; angles 90.00, 90.00, 90.00 degrees
Space group Pm-3m (No. 221)
Unique sites:
Ti 0.0000 0.0000 0.5000 x3
Cu 0.0000 0.0000 0.0000 x1
F 0.5000 0.5000 0.5000 x1


Density functional theory data (PBE) for PrDy4HoS8 after structural relaxation.

Cell lengths 8.1032, 8.1032, 19.8209 Å; angles 90.00, 90.00, 120.00 degrees
Space group R3m (No. 160, hexagonal axes)
Unique sites:
Pr 0.0000 0.0000 0.0000 x3
Dy 0.0000 0.0000 0.7504 x3
Dy 0.1678 0.3356 0.2082 x9
Ho 0.0000 0.0000 0.3758 x3
S 0.0000 0.0000 0.1368 x3
S 0.0000 0.0000 0.6183 x3
S 0.0197 0.5099 0.1270 x9
S 0.1828 0.3656 0.9549 x9


Formation energy from raw total energies across the listed records, respectively: 526; -1926 meV per atom.